*a*
Entry from Alexandria: TcBP2Cl after structural relaxation (GGA-PBE).

## Properties
**Theoretical density**: 3229 kg/m3

abc: 4.513 4.513 5.205
angles: 90.00 90.00 90.00
Positions (direct):
Cl  0.000  0.000  0.500
P  0.000  0.500  0.000
B  0.500  0.500  0.500
Tc  0.000  0.000  0.000
P  0.500  0.000  0.000

*b*
Entry from Alexandria: TcBP2Cl after structural relaxation (GGA-PBE).

## Properties
**Theoretical density**: 4947 kg/m3

abc: 4.003 4.003 4.320
angles: 90.00 90.00 90.00
Positions (direct):
P  0.000  0.500  0.000
Cl  0.000  0.000  0.500
B  0.000  0.000  0.000
P  0.500  0.000  0.000
Tc  0.500  0.500  0.500

It turns out *b* is the most stable, with the second structure 11.3 kJ/mol of atoms higher.

*a*
Entry from Alexandria: BTePCl2 after structural relaxation (GGA-PBE).

## Properties
**Theoretical density**: 2721 kg/m3

abc: 5.387 5.387 5.053
angles: 90.00 90.00 90.00
Positions (direct):
B  0.500  0.500  0.500
Cl  0.500  0.000  0.000
P  0.000  0.000  0.500
Te  0.000  0.000  0.000
Cl  0.000  0.500  0.000

*b*
Entry from Alexandria: BTePCl2 after structural relaxation (GGA-PBE).

## Properties
**Theoretical density**: 4528 kg/m3

abc: 4.278 4.278 4.815
angles: 90.00 90.00 90.00
Positions (direct):
Cl  0.000  0.500  0.000
P  0.000  0.000  0.500
Cl  0.500  0.000  0.000
Te  0.500  0.500  0.500
B  0.000  0.000  0.000

It turns out *b* is the most stable, with the second structure 62.1 kJ/mol of atoms higher.

*a*
Entry from Alexandria: TlBP2Cl after structural relaxation (GGA-PBE).

## Properties
**Theoretical density**: 4229 kg/m3

abc: 4.046 4.046 7.498
angles: 90.00 90.00 90.00
Positions (direct):
P  0.000  0.500  0.000
B  0.000  0.000  0.000
Cl  0.000  0.000  0.500
Tl  0.500  0.500  0.500
P  0.500  0.000  0.000

*b*
Entry from Alexandria: TlBP2Cl after structural relaxation (GGA-PBE).

## Properties
**Theoretical density**: 3527 kg/m3

abc: 5.176 5.176 5.495
angles: 90.00 90.00 90.00
Positions (direct):
Cl  0.000  0.000  0.500
P  0.000  0.500  0.000
Tl  0.000  0.000  0.000
P  0.500  0.000  0.000
B  0.500  0.500  0.500

It turns out *a* is the most stable, with the second structure 126.4 kJ/mol of atoms higher.

*a*
Entry from Alexandria: TlBPCl2 after structural relaxation (GGA-PBE).

## Properties
**Theoretical density**: 3374 kg/m3

abc: 5.436 5.436 5.281
angles: 90.00 90.00 90.00
Positions (direct):
Tl  0.000  0.000  0.000
B  0.500  0.500  0.500
Cl  0.500  0.000  0.000
Cl  0.000  0.500  0.000
P  0.000  0.000  0.500

*b*
Entry from Alexandria: TlBPCl2 after structural relaxation (GGA-PBE).

## Properties
**Theoretical density**: 4654 kg/m3

abc: 5.643 5.643 3.552
angles: 90.00 90.00 90.00
Positions (direct):
Tl  0.500  0.500  0.500
Cl  0.500  0.000  0.000
Cl  0.000  0.500  0.000
B  0.000  0.000  0.000
P  0.000  0.000  0.500

It turns out *b* is the most stable, with the second structure 93.1 kJ/mol of atoms higher.

*a*
Entry from Alexandria: VBPCl2 after structural relaxation (GGA-PBE).

## Properties
**Theoretical density**: 2691 kg/m3

abc: 4.609 4.609 4.754
angles: 90.00 90.00 90.00
Positions (direct):
B  0.500  0.500  0.500
P  0.000  0.000  0.500
Cl  0.500  0.000  0.000
V  0.000  0.000  0.000
Cl  0.000  0.500  0.000

*b*
Entry from Alexandria: VBPCl2 after structural relaxation (GGA-PBE).

## Properties
**Theoretical density**: 3571 kg/m3

abc: 4.160 4.160 4.395
angles: 90.00 90.00 90.00
Positions (direct):
B  0.000  0.000  0.000
P  0.000  0.000  0.500
Cl  0.500  0.000  0.000
Cl  0.000  0.500  0.000
V  0.500  0.500  0.500

It turns out *a* is the most stable, with the second structure 18.2 kJ/mol of atoms higher.

*a*
Entry from Alexandria: YBPCl2 after structural relaxation (GGA-PBE).

## Properties
**Theoretical density**: 3802 kg/m3

abc: 4.337 4.337 4.681
angles: 90.00 90.00 90.00
Positions (direct):
B  0.000  0.000  0.000
Cl  0.000  0.500  0.000
Y  0.500  0.500  0.500
P  0.000  0.000  0.500
Cl  0.500  0.000  0.000

*b*
Entry from Alexandria: YBPCl2 after structural relaxation (GGA-PBE).

## Properties
**Theoretical density**: 2208 kg/m3

abc: 5.176 5.176 5.657
angles: 90.00 90.00 90.00
Positions (direct):
B  0.500  0.500  0.500
Cl  0.500  0.000  0.000
Cl  0.000  0.500  0.000
P  0.000  0.000  0.500
Y  0.000  0.000  0.000

It turns out *a* is the most stable, with the second structure 35.5 kJ/mol of atoms higher.

*a*
Entry from Alexandria: YBP2Cl after structural relaxation (GGA-PBE).

## Properties
**Theoretical density**: 3835 kg/m3

abc: 4.109 4.109 5.055
angles: 90.00 90.00 90.00
Positions (direct):
Cl  0.000  0.000  0.500
P  0.000  0.500  0.000
Y  0.500  0.500  0.500
P  0.500  0.000  0.000
B  0.000  0.000  0.000

*b*
Entry from Alexandria: YBP2Cl after structural relaxation (GGA-PBE).

## Properties
**Theoretical density**: 2177 kg/m3

abc: 5.374 5.374 5.207
angles: 90.00 90.00 90.00
Positions (direct):
P  0.500  0.000  0.000
B  0.500  0.500  0.500
Cl  0.000  0.000  0.500
Y  0.000  0.000  0.000
P  0.000  0.500  0.000

It turns out *a* is the most stable, with the second structure 104.7 kJ/mol of atoms higher.

*a*
Entry from Alexandria: ZnBP2Cl after structural relaxation (GGA-PBE).

## Properties
**Theoretical density**: 2780 kg/m3

abc: 3.820 3.820 7.108
angles: 90.00 90.00 90.00
Positions (direct):
P  0.500  0.000  0.000
Zn  0.500  0.500  0.500
B  0.000  0.000  0.000
Cl  0.000  0.000  0.500
P  0.000  0.500  0.000

*b*
Entry from Alexandria: ZnBP2Cl after structural relaxation (GGA-PBE).

## Properties
**Theoretical density**: 2663 kg/m3

abc: 4.589 5.140 4.589
angles: 90.00 90.00 90.00
Positions (direct):
Cl  0.000  0.500  0.000
P  0.500  0.000  0.000
P  0.000  0.000  0.500
B  0.500  0.500  0.500
Zn  0.000  0.000  0.000

It turns out *a* is the most stable, with the second structure 80.1 kJ/mol of atoms higher.

*a*
Entry from Alexandria: ZrBP2Cl after structural relaxation (GGA-PBE).

## Properties
**Theoretical density**: 4246 kg/m3

abc: 4.157 4.157 4.513
angles: 90.00 90.00 90.00
Positions (direct):
P  0.500  0.000  0.000
Cl  0.000  0.000  0.500
B  0.000  0.000  0.000
P  0.000  0.500  0.000
Zr  0.500  0.500  0.500

*b*
Entry from Alexandria: ZrBP2Cl after structural relaxation (GGA-PBE).

## Properties
**Theoretical density**: 2570 kg/m3

abc: 5.058 5.058 5.037
angles: 90.00 90.00 90.00
Positions (direct):
P  0.500  0.000  0.000
P  0.000  0.500  0.000
Zr  0.000  0.000  0.000
B  0.500  0.500  0.500
Cl  0.000  0.000  0.500

It turns out *a* is the most stable, with the second structure 54.2 kJ/mol of atoms higher.

*a*
Entry from Alexandria: BPbCl2 after structural relaxation (GGA-PBE).

## Properties
**Theoretical density**: 5085 kg/m3

abc: 8.839 8.839 8.839
angles: 23.24 23.24 23.24
Positions (direct):
B  0.500  0.500  0.500
Cl  0.889  0.889  0.889
Pb  0.000  0.000  0.000
Cl  0.111  0.111  0.111

*b*
Entry from Alexandria: BPbCl2 after structural relaxation (GGA-PBE).

## Properties
**Theoretical density**: 4602 kg/m3

abc: 10.847 10.847 10.847
angles: 17.81 17.81 17.81
Positions (direct):
B  0.000  0.000  0.000
Cl  0.948  0.948  0.948
Cl  0.052  0.052  0.052
Pb  0.500  0.500  0.500

*c*
Entry from Alexandria: BPbCl2 after structural relaxation (GGA-PBE).

## Properties
**Theoretical density**: 4768 kg/m3

abc: 6.575 6.575 6.579
angles: 60.02 60.02 90.00
Positions (direct):
Pb  0.750  0.250  0.500
Pb  0.000  0.000  0.000
Cl  0.875  0.625  0.750
Cl  0.375  0.125  0.250
B  0.250  0.750  0.500
Cl  0.375  0.625  0.750
Cl  0.375  0.625  0.250
B  0.500  0.500  0.000

It turns out *b* is the most stable, with the second structure 23.7 kJ/mol of atoms higher.

*a*
Entry from Alexandria: B2PbCl after structural relaxation (GGA-PBE).

## Properties
**Theoretical density**: 6359 kg/m3

abc: 4.604 4.604 4.604
angles: 60.00 60.00 60.00
Positions (direct):
Pb  0.500  0.500  0.500
Cl  0.000  0.000  0.000
B  0.750  0.750  0.750
B  0.250  0.250  0.250

*b*
Entry from Alexandria: B2PbCl after structural relaxation (GGA-PBE).

## Properties
**Theoretical density**: 5469 kg/m3

abc: 5.291 5.291 6.846
angles: 67.27 67.27 90.00
Positions (direct):
B  0.375  0.377  0.750
B  0.127  0.625  0.250
B  0.875  0.873  0.750
Cl  0.250  0.750  0.500
B  0.623  0.125  0.250
Cl  0.500  0.500  0.000
Pb  0.000  0.000  0.000
Pb  0.750  0.250  0.500

It turns out *b* is the most stable, with the second structure 32.4 kJ/mol of atoms higher.

*a*
Entry from Alexandria: BPbS2Cl after structural relaxation (GGA-PBE).

## Properties
**Theoretical density**: 3738 kg/m3

abc: 6.504 6.673 6.736
angles: 105.20 90.00 90.00
Positions (direct):
S  0.750  0.882  0.875
Pb  0.250  0.811  0.307
S  0.250  0.118  0.125
B  0.750  0.024  0.138
Pb  0.750  0.189  0.693
B  0.250  0.976  0.862
S  0.750  0.878  0.334
Cl  0.250  0.696  0.781
Cl  0.750  0.304  0.219
S  0.250  0.122  0.666

*b*
Entry from Alexandria: BPbS2Cl after structural relaxation (GGA-PBE).

## Properties
**Theoretical density**: 5714 kg/m3

abc: 4.307 4.307 4.976
angles: 90.00 90.00 90.00
Positions (direct):
Pb  0.500  0.500  0.500
S  0.000  0.500  0.000
S  0.500  0.000  0.000
B  0.000  0.000  0.000
Cl  0.000  0.000  0.500

*c*
Entry from Alexandria: BPbS2Cl after structural relaxation (GGA-PBE).

## Properties
**Theoretical density**: 3516 kg/m3

abc: 5.245 5.245 5.453
angles: 90.00 90.00 90.00
Positions (direct):
Pb  0.000  0.000  0.000
Cl  0.000  0.000  0.500
S  0.500  0.000  0.000
B  0.500  0.500  0.500
S  0.000  0.500  0.000

It turns out *a* is the most stable, with the second structure 71.3 kJ/mol of atoms higher.

*a*
Entry from Alexandria: BPbSCl2 after structural relaxation (GGA-PBE).

## Properties
**Theoretical density**: 3311 kg/m3

abc: 5.477 5.477 5.367
angles: 90.00 90.00 90.00
Positions (direct):
Cl  0.000  0.500  0.000
Pb  0.000  0.000  0.000
B  0.500  0.500  0.500
Cl  0.500  0.000  0.000
S  0.000  0.000  0.500

*b*
Entry from Alexandria: BPbSCl2 after structural relaxation (GGA-PBE).

## Properties
**Theoretical density**: 4749 kg/m3

abc: 5.462 5.462 3.762
angles: 90.00 90.00 90.00
Positions (direct):
Cl  0.000  0.500  0.000
B  0.000  0.000  0.000
Cl  0.500  0.000  0.000
Pb  0.500  0.500  0.500
S  0.000  0.000  0.500

It turns out *b* is the most stable, with the second structure 66.8 kJ/mol of atoms higher.